w | BeZnBr2 at its PBEsol-relaxed geometry. Source: Alexandria, functional SCAN.

a = 6.7063 Å, b = 6.7063 Å, c = 6.7063 Å
α = 90.00°, β = 90.00°, γ = 90.00°
Space group Fm-3m (No. 225)
Asymmetric unit:
Be (0.0000, 0.0000, 0.0000)
Zn (0.0000, 0.0000, 0.5000)
Br (0.2500, 0.2500, 0.2500)

=====

x | BeZnBr2 at its PBEsol-relaxed geometry. Source: Alexandria, functional SCAN.

a = 4.7469 Å, b = 4.7469 Å, c = 3.3469 Å
α = 90.00°, β = 90.00°, γ = 90.00°
Space group P4/mmm (No. 123)
Asymmetric unit:
Be (0.0000, 0.0000, 0.0000)
Zn (0.5000, 0.5000, 0.0000)
Br (0.0000, 0.5000, 0.5000)

=====

In eV/atom, relative to the most stable structure: w 0.000; x 0.008.

=====

w | SrCdCl2 at its PBEsol-relaxed geometry. Source: Alexandria, functional SCAN.

a = 4.0341 Å, b = 4.0341 Å, c = 6.3004 Å
α = 90.00°, β = 90.00°, γ = 90.00°
Space group P4mm (No. 99)
Asymmetric unit:
Sr (0.0000, 0.0000, 0.0000)
Cd (0.5000, 0.5000, 0.3668)
Cl (0.0000, 0.0000, 0.5339)
Cl (0.5000, 0.5000, 0.8297)

=====

x | SrCdCl2 at its PBEsol-relaxed geometry. Source: Alexandria, functional SCAN.

a = 3.7388 Å, b = 4.5344 Å, c = 14.4105 Å
α = 90.00°, β = 90.00°, γ = 90.00°
Space group Imm2 (No. 44)
Asymmetric unit:
Sr (0.0000, 0.0000, 0.0000)
Cd (0.0000, 0.5000, 0.7249)
Cl (0.0000, 0.0000, 0.5363)
Cl (0.0000, 0.5000, 0.3539)

=====

In eV/atom, relative to the most stable structure: w 0.110; x 0.000.

=====

w | BeIn2Si at its PBEsol-relaxed geometry. Source: Alexandria, functional SCAN.

a = 2.9246 Å, b = 3.4579 Å, c = 7.4719 Å
α = 90.00°, β = 90.00°, γ = 90.00°
Space group Pmm2 (No. 25)
Asymmetric unit:
Be (0.0000, 0.0000, 0.0000)
In (0.0000, 0.0000, 0.6122)
In (0.5000, 0.5000, 0.2714)
Si (0.5000, 0.5000, 0.8918)

=====

x | BeIn2Si at its PBEsol-relaxed geometry. Source: Alexandria, functional SCAN.

a = 4.1357 Å, b = 4.6228 Å, c = 7.6460 Å
α = 90.00°, β = 90.00°, γ = 90.00°
Space group Cmmm (No. 65)
Asymmetric unit:
Be (0.0000, 0.0000, 0.0000)
In (0.0000, 0.5000, 0.2265)
Si (0.0000, 0.0000, 0.5000)

=====

In eV/atom, relative to the most stable structure: w 0.000; x 0.164.

=====

w | ZnOsBr2 at its PBEsol-relaxed geometry. Source: Alexandria, functional SCAN.

a = 3.9417 Å, b = 3.1402 Å, c = 7.3222 Å
α = 90.00°, β = 105.55°, γ = 90.00°
Space group Pm (No. 6)
Asymmetric unit:
Zn (0.0000, 0.0000, 0.0000)
Os (0.4631, 0.5000, 0.9259)
Br (0.3292, 0.0000, 0.6568)
Br (0.6363, 0.5000, 0.2721)

=====

x | ZnOsBr2 at its PBEsol-relaxed geometry. Source: Alexandria, functional SCAN.

a = 4.9407 Å, b = 11.9253 Å, c = 3.7511 Å
α = 90.00°, β = 90.00°, γ = 90.00°
Space group Cmmm (No. 65)
Asymmetric unit:
Zn (0.0000, 0.0000, 0.0000)
Os (0.0000, 0.5000, 0.0000)
Br (0.0000, 0.3662, 0.5000)

=====

In eV/atom, relative to the most stable structure: w 0.000; x 0.139.

=====

w | ZrScCu2 at its PBEsol-relaxed geometry. Source: Alexandria, functional SCAN.

a = 3.1937 Å, b = 3.1937 Å, c = 6.5196 Å
α = 90.00°, β = 90.00°, γ = 90.00°
Space group P4/mmm (No. 123)
Asymmetric unit:
Zr (0.0000, 0.0000, 0.0000)
Sc (0.0000, 0.0000, 0.5000)
Cu (0.5000, 0.5000, 0.2541)

=====

x | ZrScCu2 at its PBEsol-relaxed geometry. Source: Alexandria, functional SCAN.

a = 3.2432 Å, b = 4.2746 Å, c = 4.9158 Å
α = 90.00°, β = 98.41°, γ = 90.00°
Space group Pm (No. 6)
Asymmetric unit:
Zr (0.0000, 0.0000, 0.0000)
Sc (0.1827, 0.5000, 0.5627)
Cu (0.5589, 0.5000, 0.1201)
Cu (0.6360, 0.0000, 0.4426)

=====

In eV/atom, relative to the most stable structure: w 0.010; x 0.000.

=====

w | IrPtCl2 at its PBEsol-relaxed geometry. Source: Alexandria, functional SCAN.

a = 2.8278 Å, b = 5.2796 Å, c = 8.4024 Å
α = 90.00°, β = 90.00°, γ = 90.00°
Space group Cmmm (No. 65)
Asymmetric unit:
Ir (0.0000, 0.0000, 0.0000)
Pt (0.0000, 0.0000, 0.5000)
Cl (0.0000, 0.5000, 0.2338)

=====

x | IrPtCl2 at its PBEsol-relaxed geometry. Source: Alexandria, functional SCAN.

a = 6.6484 Å, b = 2.9381 Å, c = 7.7275 Å
α = 90.00°, β = 98.94°, γ = 90.00°
Space group Cm (No. 8)
Asymmetric unit:
Ir (0.0000, 0.0000, 0.0000)
Pt (0.2592, 0.0000, 0.7879)
Cl (0.0221, 0.5000, 0.5857)
Cl (0.2395, 0.5000, 0.1822)

=====

In eV/atom, relative to the most stable structure: w 0.738; x 0.000.

=====

w | Mg3Mo at its PBEsol-relaxed geometry. Source: Alexandria, functional SCAN.

a = 4.1653 Å, b = 4.1653 Å, c = 4.1653 Å
α = 90.00°, β = 90.00°, γ = 90.00°
Space group Pm-3m (No. 221)
Asymmetric unit:
Mg (0.0000, 0.0000, 0.5000)
Mo (0.5000, 0.5000, 0.5000)

=====

x | Mg3Mo at its PBEsol-relaxed geometry. Source: Alexandria, functional SCAN.

a = 6.7012 Å, b = 6.7012 Å, c = 6.7012 Å
α = 90.00°, β = 90.00°, γ = 90.00°
Space group Fm-3m (No. 225)
Asymmetric unit:
Mg (0.0000, 0.0000, 0.0000)
Mg (0.2500, 0.2500, 0.2500)
Mo (0.0000, 0.0000, 0.5000)

=====

In eV/atom, relative to the most stable structure: w 0.000; x 0.068.

=====

w | NiMo2Os at its PBEsol-relaxed geometry. Source: Alexandria, functional SCAN.

a = 3.8064 Å, b = 3.8064 Å, c = 7.5690 Å
α = 90.00°, β = 90.00°, γ = 90.00°
Space group I4/mmm (No. 139)
Asymmetric unit:
Ni (0.0000, 0.0000, 0.0000)
Mo (0.0000, 0.5000, 0.2500)
Os (0.0000, 0.0000, 0.5000)

=====

x | NiMo2Os at its PBEsol-relaxed geometry. Source: Alexandria, functional SCAN.

a = 2.7370 Å, b = 4.3150 Å, c = 4.6735 Å
α = 90.00°, β = 90.00°, γ = 90.00°
Space group Pmm2 (No. 25)
Asymmetric unit:
Ni (0.0000, 0.0000, 0.0000)
Mo (0.5000, 0.0000, 0.4941)
Mo (0.5000, 0.5000, 0.1447)
Os (0.0000, 0.5000, 0.6592)

=====

In eV/atom, relative to the most stable structure: w 0.000; x 0.072.

=====

w | KCr2Ir at its PBEsol-relaxed geometry. Source: Alexandria, functional SCAN.

a = 2.9038 Å, b = 2.9038 Å, c = 8.3864 Å
α = 90.00°, β = 90.00°, γ = 90.00°
Space group P4mm (No. 99)
Asymmetric unit:
K (0.0000, 0.0000, 0.0000)
Cr (0.0000, 0.0000, 0.5157)
Cr (0.5000, 0.5000, 0.3520)
Ir (0.5000, 0.5000, 0.6905)

=====

x | KCr2Ir at its PBEsol-relaxed geometry. Source: Alexandria, functional SCAN.

a = 2.7906 Å, b = 4.4359 Å, c = 10.1717 Å
α = 90.00°, β = 90.00°, γ = 90.00°
Space group Cmmm (No. 65)
Asymmetric unit:
K (0.0000, 0.0000, 0.0000)
Cr (0.0000, 0.5000, 0.2914)
Ir (0.0000, 0.0000, 0.5000)

=====

In eV/atom, relative to the most stable structure: w 0.000; x 0.693.

=====

w | InRu2Se at its PBEsol-relaxed geometry. Source: Alexandria, functional SCAN.

a = 8.1361 Å, b = 2.9821 Å, c = 5.4239 Å
α = 90.00°, β = 101.74°, γ = 90.00°
Space group C2/m (No. 12)
Asymmetric unit:
In (0.0000, 0.0000, 0.0000)
Ru (0.2486, 0.0000, 0.7052)
Se (0.0000, 0.5000, 0.5000)

=====

x | InRu2Se at its PBEsol-relaxed geometry. Source: Alexandria, functional SCAN.

a = 2.9140 Å, b = 2.9140 Å, c = 7.9015 Å
α = 90.00°, β = 90.00°, γ = 90.00°
Space group P4mm (No. 99)
Asymmetric unit:
In (0.0000, 0.0000, 0.0000)
Ru (0.0000, 0.0000, 0.4563)
Ru (0.5000, 0.5000, 0.2408)
Se (0.5000, 0.5000, 0.6496)

=====

In eV/atom, relative to the most stable structure: w 0.023; x 0.000.

=====

w | MgTl2Cd at its PBEsol-relaxed geometry. Source: Alexandria, functional SCAN.

a = 3.2923 Å, b = 3.2923 Å, c = 31.6723 Å
α = 90.00°, β = 90.00°, γ = 120.00°
Space group R-3m (No. 166, hexagonal axes)
Asymmetric unit:
Mg (0.0000, 0.0000, 0.0000)
Tl (0.0000, 0.0000, 0.2506)
Cd (0.0000, 0.0000, 0.5000)

=====

x | MgTl2Cd at its PBEsol-relaxed geometry. Source: Alexandria, functional SCAN.

a = 3.4271 Å, b = 3.4271 Å, c = 8.3955 Å
α = 90.00°, β = 90.00°, γ = 90.00°
Space group P4mm (No. 99)
Asymmetric unit:
Mg (0.0000, 0.0000, 0.0000)
Tl (0.0000, 0.0000, 0.5316)
Tl (0.5000, 0.5000, 0.2437)
Cd (0.5000, 0.5000, 0.7902)

=====

In eV/atom, relative to the most stable structure: w 0.050; x 0.000.

=====

w | K2TlPt at its PBEsol-relaxed geometry. Source: Alexandria, functional SCAN.

a = 4.5083 Å, b = 4.5336 Å, c = 10.2747 Å
α = 90.00°, β = 90.00°, γ = 90.00°
Space group Immm (No. 71)
Asymmetric unit:
K (0.0000, 0.0000, 0.2489)
Tl (0.0000, 0.5000, 0.0000)
Pt (0.0000, 0.5000, 0.5000)

=====

x | K2TlPt at its PBEsol-relaxed geometry. Source: Alexandria, functional SCAN.

a = 4.4097 Å, b = 5.0571 Å, c = 11.9922 Å
α = 90.00°, β = 90.00°, γ = 90.00°
Space group Amm2 (No. 38)
Asymmetric unit:
K (0.0000, 0.0000, 0.0000)
K (0.5000, 0.0000, 0.2925)
Tl (0.5000, 0.0000, 0.5896)
Pt (0.0000, 0.0000, 0.7147)

=====

In eV/atom, relative to the most stable structure: w 0.237; x 0.000.